# 1
VASP calculation (meta-GGA SCAN) on a PBEsol-optimized structure of K2CaBr.

Unit cell a=4.2240 b=6.8396 c=6.8396 alpha=118.53 beta=90.00 gamma=90.00
Atoms (fractional coordinates):
K  0.0000  0.0000  0.5000
K  0.0000  0.5000  0.0000
Ca  0.5000  0.5000  0.5000
Br  0.5000  0.0000  0.0000

Computed properties:
- M_tot: 0.00 Bohr magnetons per cell
- Polymorph energy (0 for the lowest one): 0 meV/atom



# 2
VASP calculation (meta-GGA SCAN) on a PBEsol-optimized structure of Sc6MnTe2.

Unit cell a=3.7886 b=7.5921 c=7.5921 alpha=120.00 beta=90.00 gamma=90.00
Each line ends with the local moment (μB).
Atoms (fractional coordinates):
Te  0.0000  0.3333  0.6667  0.00
Te  0.0000  0.6667  0.3333  0.00
Sc  0.5000  0.0000  0.6147  -0.06
Sc  0.0000  0.0000  0.2325  -0.25
Sc  0.0000  0.2325  0.0000  -0.25
Sc  0.5000  0.3853  0.3853  -0.06
Sc  0.5000  0.6147  0.0000  -0.06
Sc  0.0000  0.7675  0.7675  -0.25
Mn  0.5000  0.0000  0.0000  2.70

Computed properties:
- M_tot: 1.36 Bohr magnetons per cell
- E: -20.46 eV per atom



# 3
VASP calculation (meta-GGA SCAN) on a PBEsol-optimized structure of Nb2Zn2NiO8.

Unit cell a=5.1852 b=5.8487 c=9.8373 alpha=107.29 beta=90.61 gamma=90.00
Each line ends with the local moment (μB).
Atoms (fractional coordinates):
O  0.9121  0.9455  0.1315  0.02
O  0.9459  0.7225  0.6426  0.01
O  0.5541  0.0800  0.3574  0.01
O  0.6288  0.5503  0.3845  0.00
O  0.5879  0.8140  0.8685  0.02
O  0.4197  0.6729  0.1113  0.06
O  0.9197  0.4384  0.1113  0.06
O  0.0541  0.2775  0.3574  0.01
O  0.4459  0.9200  0.6426  0.01
O  0.3713  0.4497  0.6155  0.00
O  0.5803  0.3271  0.8887  0.06
O  0.8712  0.1658  0.6155  0.00
O  0.4121  0.1860  0.1315  0.02
O  0.1288  0.8342  0.3845  0.00
O  0.0803  0.5616  0.8887  0.06
O  0.0879  0.0545  0.8685  0.02
Nb  0.2445  0.7239  0.7769  0.06
Nb  0.7555  0.2761  0.2231  0.06
Nb  0.2555  0.9470  0.2231  0.06
Nb  0.7445  0.0530  0.7769  0.06
Zn  0.2598  0.5638  0.4418  0.00
Zn  0.7598  0.8781  0.4418  0.00
Zn  0.2402  0.1219  0.5582  0.00
Zn  0.7402  0.4362  0.5582  0.00
Ni  0.2500  0.3623  0.0000  1.64
Ni  0.7500  0.6377  0.0000  1.64

Computed properties:
- M_tot: 3.95 Bohr magnetons per cell
- E: -14.44 eV per atom



# 4
VASP calculation (meta-GGA SCAN) on a PBEsol-optimized structure of CaTeCl2.

Unit cell a=3.6852 b=3.6852 c=7.1259 alpha=90.00 beta=90.00 gamma=90.00
Atoms (fractional coordinates):
Ca  0.5000  0.5000  0.8346
Cl  0.5000  0.5000  0.2300
Cl  0.0000  0.0000  0.9520
Te  0.0000  0.0000  0.4834

Computed properties:
- M_tot: 0.00 Bohr magnetons per cell
- Polymorph energy (0 for the lowest one): 12 meV/atom



# 5
VASP calculation (meta-GGA SCAN) on a PBEsol-optimized structure of MgSc2Ta.

Unit cell a=3.1472 b=5.0657 c=6.0239 alpha=114.86 beta=105.14 gamma=90.00
Atoms (fractional coordinates):
Ta  0.5083  0.5083  0.0167
Mg  0.2403  0.7403  0.4806
Sc  0.9863  0.9863  0.9726
Sc  0.7650  0.2650  0.5301

Computed properties:
- M_tot: 0.00 Bohr magnetons per cell
- Formation energy: 245 meV/atom



# 6
VASP calculation (meta-GGA SCAN) on a PBEsol-optimized structure of Sb2AsRh.

Unit cell a=3.2553 b=3.2553 c=7.4821 alpha=90.00 beta=90.00 gamma=90.00
Atoms (fractional coordinates):
Sb  0.0000  0.0000  0.7180
Sb  0.0000  0.0000  0.2820
As  0.5000  0.5000  0.0000
Rh  0.5000  0.5000  0.5000

Computed properties:
- M_tot: 0.00 Bohr magnetons per cell
- E: -32.04 eV per atom



Question: Which formula does entry 4 have?
Answer: CaTeCl2



Question: Number 3 is which compound?
Answer: Nb2Zn2NiO8